(1)
# CrInW2, relaxed, DFT PBE-GGA
data_CrInW2
_chemical_formula_sum 'Cr2 In2 W4'
_space_group_name_H-M_alt 'C m m 2'
_space_group_IT_number 35
_space_group_name_Hall 'C 2 -2'
_cell_length_a 3.190
_cell_length_b 4.600
_cell_length_c 8.925
_cell_angle_alpha 90.00
_cell_angle_beta 90.00
_cell_angle_gamma 90.00
loop_
_atom_site_label
_atom_site_fract_x
_atom_site_fract_y
_atom_site_fract_z
_atom_site_occupancy
Cr1 0.000 0.000 0.000 1
In1 0.000 0.500 0.746 1
W1 0.000 0.000 0.469 1
W2 0.000 0.500 0.221 1
# DFT total energy = -9.18 eV per atom
# ΔH_f (0 K) = 148 kJ/mol of formula units
# D(E_F) = 5.89 states/eV per cell


(2)
# SrHg2Pb2, relaxed, DFT PBE-GGA
data_SrHg2Pb2
_chemical_formula_sum 'Sr2 Hg4 Pb4'
_space_group_name_H-M_alt 'I 4/m m m'
_space_group_IT_number 139
_space_group_name_Hall '-I 4 2'
_cell_length_a 4.896
_cell_length_b 4.896
_cell_length_c 13.196
_cell_angle_alpha 90.00
_cell_angle_beta 90.00
_cell_angle_gamma 90.00
loop_
_atom_site_label
_atom_site_fract_x
_atom_site_fract_y
_atom_site_fract_z
_atom_site_occupancy
Sr1 0.000 0.000 0.000 1
Hg1 0.000 0.000 0.395 1
Pb1 0.000 0.500 0.250 1
# Energy above the most stable polymorph in this dataset = 42 meV per atom
# DFT total energy = -2.20 eV per atom
# ΔH_f (0 K) = -125 kJ/mol of formula units
# D(E_F) = 3.11 states/eV per cell


(3)
# Tb5Y5Sc2, relaxed, DFT PBE-GGA
data_Tb5Y5Sc2
_chemical_formula_sum 'Tb5 Y5 Sc2'
_space_group_name_H-M_alt 'P -1'
_space_group_IT_number 2
_space_group_name_Hall '-P 1'
_cell_length_a 6.080
_cell_length_b 7.866
_cell_length_c 8.613
_cell_angle_alpha 68.55
_cell_angle_beta 89.98
_cell_angle_gamma 75.08
loop_
_atom_site_label
_atom_site_fract_x
_atom_site_fract_y
_atom_site_fract_z
_atom_site_occupancy
Tb1 0.000 0.000 0.000 1
Tb2 0.085 0.247 0.583 1
Tb3 0.166 0.496 0.169 1
Y1 0.248 0.757 0.745 1
Y2 0.417 0.248 0.918 1
Y3 0.500 0.500 0.500 1
Sc1 0.336 0.000 0.336 1
# Energy above the most stable polymorph in this dataset = 0 meV per atom
# DFT total energy = -5.64 eV per atom
# ΔH_f (0 K) = 46 kJ/mol of formula units
# D(E_F) = 18.24 states/eV per cell


(4)
# Pr4HoHg2, relaxed, DFT PBE-GGA
data_Pr4HoHg2
_chemical_formula_sum 'Pr16 Ho4 Hg8'
_space_group_name_H-M_alt 'I m m a'
_space_group_IT_number 74
_space_group_name_Hall '-I 2b 2'
_cell_length_a 6.740
_cell_length_b 10.950
_cell_length_c 12.516
_cell_angle_alpha 90.00
_cell_angle_beta 90.00
_cell_angle_gamma 90.00
loop_
_atom_site_label
_atom_site_fract_x
_atom_site_fract_y
_atom_site_fract_z
_atom_site_occupancy
Pr1 0.000 0.012 0.153 1
Pr2 0.240 0.250 0.000 1
Ho1 0.000 0.250 0.720 1
Hg1 0.000 0.000 0.500 1
Hg2 0.250 0.250 0.250 1
# DFT total energy = -3.49 eV per atom
# ΔH_f (0 K) = -16 kJ/mol of formula units
# D(E_F) = 32.39 states/eV per cell


(5)
# InIrRu2, relaxed, DFT PBE-GGA
data_InIrRu2
_chemical_formula_sum 'In1 Ir1 Ru2'
_space_group_name_H-M_alt 'P m m m'
_space_group_IT_number 47
_space_group_name_Hall '-P 2 2'
_cell_length_a 2.804
_cell_length_b 3.815
_cell_length_c 5.874
_cell_angle_alpha 90.00
_cell_angle_beta 90.00
_cell_angle_gamma 90.00
loop_
_atom_site_label
_atom_site_fract_x
_atom_site_fract_y
_atom_site_fract_z
_atom_site_occupancy
In1 0.000 0.000 0.000 1
Ir1 0.000 0.000 0.500 1
Ru1 0.500 0.500 0.276 1
# DFT total energy = -7.36 eV per atom
# ΔH_f (0 K) = 70 kJ/mol of formula units
# D(E_F) = 4.31 states/eV per cell


(6)
# Ho2AlTc, relaxed, DFT PBE-GGA
data_Ho2AlTc
_chemical_formula_sum 'Ho2 Al1 Tc1'
_space_group_name_H-M_alt 'P 4/m m m'
_space_group_IT_number 123
_space_group_name_Hall '-P 4 2'
_cell_length_a 3.542
_cell_length_b 3.542
_cell_length_c 6.922
_cell_angle_alpha 90.00
_cell_angle_beta 90.00
_cell_angle_gamma 90.00
loop_
_atom_site_label
_atom_site_fract_x
_atom_site_fract_y
_atom_site_fract_z
_atom_site_occupancy
Ho1 0.000 0.000 0.229 1
Al1 0.500 0.500 0.500 1
Tc1 0.500 0.500 0.000 1
# DFT total energy = -6.01 eV per atom
# ΔH_f (0 K) = -77 kJ/mol of formula units
# D(E_F) = 5.02 states/eV per cell


(7)
# Ba2Pb2I, relaxed, DFT PBE-GGA
data_Ba2Pb2I
_chemical_formula_sum 'Ba4 Pb4 I2'
_space_group_name_H-M_alt 'P 4/m b m'
_space_group_IT_number 127
_space_group_name_Hall '-P 4 2ab'
_cell_length_a 9.547
_cell_length_b 9.547
_cell_length_c 5.055
_cell_angle_alpha 90.00
_cell_angle_beta 90.00
_cell_angle_gamma 90.00
loop_
_atom_site_label
_atom_site_fract_x
_atom_site_fract_y
_atom_site_fract_z
_atom_site_occupancy
Ba1 0.182 0.318 0.000 1
Pb1 0.106 0.606 0.500 1
I1 0.000 0.000 0.000 1
# Energy above the most stable polymorph in this dataset = 0 meV per atom
# DFT total energy = -3.31 eV per atom
# D(E_F) = 2.78 states/eV per cell
# Raw formation energy = -3.7 eV/f.u.


(8)
# Li2HoMg4, relaxed, DFT PBE-GGA
data_Li2HoMg4
_chemical_formula_sum 'Li4 Ho2 Mg8'
_space_group_name_H-M_alt 'C m m m'
_space_group_IT_number 65
_space_group_name_Hall '-C 2 2'
_cell_length_a 4.769
_cell_length_b 21.859
_cell_length_c 3.112
_cell_angle_alpha 90.00
_cell_angle_beta 90.00
_cell_angle_gamma 90.00
loop_
_atom_site_label
_atom_site_fract_x
_atom_site_fract_y
_atom_site_fract_z
_atom_site_occupancy
Li1 0.000 0.218 0.000 1
Ho1 0.000 0.500 0.500 1
Mg1 0.000 0.079 0.000 1
Mg2 0.000 0.347 0.500 1
# DFT total energy = -2.12 eV per atom
# ΔH_f (0 K) = -4 kJ/mol of formula units
# D(E_F) = 10.87 states/eV per cell